Entry 1:
This record from Alexandria describes CeThPa after structural relaxation. The functional is GGA-PBE.

total magnetization: 0.00 μB/cell
ΔE to the lowest computed polymorph: 35.1 meV/atom
energy relative to the elements: 0.1015 eV/atom
volume: 168 Å³/cell
density of states at the Fermi level: 14.2 states/eV per cell
DFT total energy: -0.552 Ry per atom

Unit cell a=3.3820 b=3.3820 c=16.9854 alpha=90.00 beta=90.00 gamma=120.00
Last column: nearest neighbours and their distance in Å.
Space group P3m1 (No. 156)
Asymmetric unit:
Ce 0.0000 0.0000 0.0000 x1  6 Ce 3.38, 6 Th 3.47-3.52
Ce 0.0000 0.0000 0.3459 x1  3 Pa 3.34, 6 Ce 3.38, 3 Th 3.53
Th 0.3333 0.6667 0.1727 x1  6 Th 3.38, 6 Ce 3.52-3.53
Th 0.3333 0.6667 0.8310 x1  6 Th 3.38, 3 Pa 3.44, 3 Ce 3.47
Pa 0.3333 0.6667 0.5057 x1  9 Pa 3.33-3.38, 3 Ce 3.34
Pa 0.6667 0.3333 0.6643 x1  9 Pa 3.33-3.38, 3 Th 3.44


Entry 2:
This record from Alexandria describes CeTh2Pa after structural relaxation. The functional is GGA-PBE.

total magnetization: 0.01 μB/cell
ΔE to the lowest computed polymorph: 209.5 meV/atom
energy relative to the elements: 0.2599 eV/atom
volume: 466 Å³/cell
density of states at the Fermi level: 37.9 states/eV per cell
DFT total energy: -0.537 Ry per atom

Unit cell a=7.7516 b=7.7516 c=7.7516 alpha=90.00 beta=90.00 gamma=90.00
Last column: nearest neighbours and their distance in Å.
Space group Fm-3m (No. 225)
Asymmetric unit:
Ce 0.0000 0.0000 0.0000 x4  8 Th 3.36
Th 0.2500 0.2500 0.2500 x8  4 Ce 3.36, 4 Pa 3.36
Pa 0.0000 0.0000 0.5000 x4  8 Th 3.36


Entry 3:
This record from Alexandria describes CeTh2Pa after structural relaxation. The functional is GGA-PBE.

total magnetization: 0.00 μB/cell
ΔE to the lowest computed polymorph: 0.0 meV/atom
energy relative to the elements: 0.0504 eV/atom
volume: 115 Å³/cell
density of states at the Fermi level: 6.7 states/eV per cell
DFT total energy: -0.552 Ry per atom

Unit cell a=3.4513 b=3.4513 c=9.6684 alpha=90.00 beta=90.00 gamma=90.00
Last column: nearest neighbours and their distance in Å.
Space group P4/mmm (No. 123)
Asymmetric unit:
Ce 0.0000 0.0000 0.0000 x1  4 Ce 3.45, 8 Th 3.45
Th 0.5000 0.5000 0.2528 x2  4 Pa 3.42, 4 Th 3.45, 4 Ce 3.45
Pa 0.0000 0.0000 0.5000 x1  8 Th 3.42, 4 Pa 3.45


Entry 4:
This record from Alexandria describes Ce14ThPa after structural relaxation. The functional is GGA-PBE.

total magnetization: 0.00 μB/cell
energy relative to the elements: 0.0216 eV/atom
volume: 422 Å³/cell
density of states at the Fermi level: 37.3 states/eV per cell
DFT total energy: -0.458 Ry per atom

Unit cell a=6.6888 b=6.6888 c=9.4315 alpha=90.00 beta=90.00 gamma=90.00
Last column: nearest neighbours and their distance in Å.
Space group P4/mmm (No. 123)
Asymmetric unit:
Ce 0.0000 0.0000 0.0000 x1  12 Ce 3.32-3.34
Ce 0.0000 0.5000 0.0000 x2  12 Ce 3.33-3.34
Ce 0.0000 0.5000 0.5000 x2  2 Th 3.34, 2 Pa 3.34, 8 Ce 3.35
Ce 0.2482 0.2482 0.2490 x8  10 Ce 3.32-3.37, 1 Pa 3.33, 1 Th 3.36
Ce 0.5000 0.5000 0.0000 x1  12 Ce 3.34-3.35
Th 0.5000 0.5000 0.5000 x1  12 Ce 3.34-3.36
Pa 0.0000 0.0000 0.5000 x1  12 Ce 3.33-3.34


Entry 5:
This record from Alexandria describes CeTmThPa after structural relaxation. The functional is GGA-PBE.

total magnetization: 0.10 μB/cell
energy relative to the elements: 0.3109 eV/atom
volume: 460 Å³/cell
density of states at the Fermi level: 48.6 states/eV per cell
DFT total energy: -0.479 Ry per atom

Unit cell a=7.7195 b=7.7195 c=7.7195 alpha=90.00 beta=90.00 gamma=90.00
Last column: nearest neighbours and their distance in Å.
Space group F-43m (No. 216)
Asymmetric unit:
Ce 0.0000 0.0000 0.0000 x4  4 Pa 3.34, 4 Tm 3.34
Tm 0.2500 0.2500 0.2500 x4  4 Th 3.34, 4 Ce 3.34
Th 0.0000 0.0000 0.5000 x4  4 Tm 3.34, 4 Pa 3.34
Pa 0.2500 0.2500 0.7500 x4  4 Th 3.34, 4 Ce 3.34


Entry 6:
This record from Alexandria describes CeYThPa after structural relaxation. The functional is GGA-PBE.

total magnetization: 0.16 μB/cell
energy relative to the elements: 0.3288 eV/atom
volume: 468 Å³/cell
density of states at the Fermi level: 50.2 states/eV per cell
DFT total energy: -0.514 Ry per atom

Unit cell a=7.7623 b=7.7623 c=7.7623 alpha=90.00 beta=90.00 gamma=90.00
Last column: nearest neighbours and their distance in Å.
Space group F-43m (No. 216)
Asymmetric unit:
Ce 0.0000 0.0000 0.0000 x4  4 Pa 3.36, 4 Y 3.36
Y 0.2500 0.2500 0.7500 x4  4 Th 3.36, 4 Ce 3.36
Th 0.0000 0.0000 0.5000 x4  4 Y 3.36, 4 Pa 3.36
Pa 0.2500 0.2500 0.2500 x4  4 Th 3.36, 4 Ce 3.36